# CrNiPb2 | Alexandria | PBEsol | relaxed
data_CrNiPb2
_chemical_formula_sum 'Cr2 Ni2 Pb4'
_symmetry_space_group_name_H-M 'C 1 2/m 1'
_symmetry_Int_Tables_number 12
_cell_length_a 8.259
_cell_length_b 3.359
_cell_length_c 5.871
_cell_angle_alpha 90.00
_cell_angle_beta 103.92
_cell_angle_gamma 90.00
loop_
_symmetry_equiv_pos_as_xyz
'x,y,z'
'-x,-y,-z'
'-x,y,-z'
'x,-y,z'
'x+1/2,y+1/2,z'
'-x+1/2,-y+1/2,-z'
'-x+1/2,y+1/2,-z'
'x+1/2,-y+1/2,z'
loop_
_atom_site_label
_atom_site_type_symbol
_atom_site_fract_x
_atom_site_fract_y
_atom_site_fract_z
_atom_site_occupancy
Cr1 Cr 0.000 0.000 0.000 1
Ni1 Ni 0.000 0.500 0.500 1
Pb1 Pb 0.239 0.000 0.729 1
# uncorrected energy	-44.4	eV/cell
# M_tot	7.9	Bohr magnetons per cell
# mass density	11.031	g cm⁻³
# calculated formation energy	0.5489	eV per atom